Computed, not measured: a relaxed structure of Tc2HgSe at the PBE level of DFT. Values from VASP.

Properties
excess energy over the best structure of this formula in the dataset = 666 meV/atom
total moment = 0.58 μB per cell
space group = Pmmm

```
&SYSTEM
  ibrav = 0, nat = 4, ntyp = 3
/
ATOMIC_SPECIES
Tc 98.00 Tc.upf
Hg 200.59 Hg.upf
Se 78.96 Se.upf
CELL_PARAMETERS angstrom
3.0856 0.0000 0.0000
0.0000 4.5974 0.0000
0.0000 0.0000 4.8946
ATOMIC_POSITIONS crystal
Tc 0.0000 0.0000 0.0000
Tc 0.5000 0.0000 0.5000
Hg 0.0000 0.5000 0.5000
Se 0.5000 0.5000 0.0000
```